Density functional theory data (PBE) for a relaxed Ac4Zn3Ga5 crystal.

The value obtained for the total magnetic moment is 0.000 μB/atom. For the energy, the calculation gives -3.2913 eV per atom. For the density of states at the Fermi level, the calculation gives 0.733 states/eV per atom.

It has space group C2/m (No. 12), with a = 15.5991 Å, b = 4.5945 Å, c = 10.2341 Å, α = 90.00°, β = 114.34° and γ = 90.00°. The inequivalent atoms are Ac at (0.0492, 0.0000, 0.3382), Ac at (0.2398, 0.5000, 0.2068), Zn at (0.0000, 0.0000, 0.0000), Zn at (0.1174, 0.5000, 0.8663), Ga at (0.0000, 0.5000, 0.0000), Ga at (0.0843, 0.5000, 0.6002) and Ga at (0.2228, 0.5000, 0.5349).

Density functional theory data (PBE) for a relaxed Ac3Zn2Ga crystal.

The value obtained for the total magnetic moment is 0.000 μB/atom. The energy relative to the lowest polymorph listed for this composition comes out at 0.0 kJ per mole of atoms. For the energy, the calculation gives -3.2983 eV per atom. For the density of states at the Fermi level, the calculation gives 0.997 states/eV per atom.

It has space group P-3m1 (No. 164), with a = 5.5181 Å, b = 5.5181 Å, c = 13.5990 Å, α = 90.00°, β = 90.00° and γ = 120.00°. The inequivalent atoms are Ac at (0.0000, 0.0000, 0.2500), Ac at (0.3333, 0.6667, 0.4166), Ac at (0.3333, 0.6667, 0.9169), Zn at (0.0000, 0.0000, 0.0000), Zn at (0.0000, 0.0000, 0.5000), Zn at (0.3333, 0.6667, 0.1641) and Ga at (0.3333, 0.6667, 0.6667).

> Which value of energy does entry 2 give?

-3.2983 eV per atom

> Which of these has the lowest energy?

Ac3Zn2Ga

> Which formula does entry 2 have?

Ac3Zn2Ga

Copy entry 2 word for word.
Density functional theory data (PBE) for a relaxed Ac3Zn2Ga crystal.

The value obtained for the total magnetic moment is 0.000 μB/atom. The energy relative to the lowest polymorph listed for this composition comes out at 0.0 kJ per mole of atoms. For the energy, the calculation gives -3.2983 eV per atom. For the density of states at the Fermi level, the calculation gives 0.997 states/eV per atom.

It has space group P-3m1 (No. 164), with a = 5.5181 Å, b = 5.5181 Å, c = 13.5990 Å, α = 90.00°, β = 90.00° and γ = 120.00°. The inequivalent atoms are Ac at (0.0000, 0.0000, 0.2500), Ac at (0.3333, 0.6667, 0.4166), Ac at (0.3333, 0.6667, 0.9169), Zn at (0.0000, 0.0000, 0.0000), Zn at (0.0000, 0.0000, 0.5000), Zn at (0.3333, 0.6667, 0.1641) and Ga at (0.3333, 0.6667, 0.6667).